#1
Computed, not measured: LaHf3O after structural relaxation at the GGA-PBE level of DFT.

Lattice parameters (Å, degrees): 4.6473 4.6473 4.6473 90.00 90.00 90.00
Closest atoms and distances in Å follow each position.
Fractional positions:
La: 0.0000 0.0000 0.0000  12 Hf 3.29
Hf: 0.0000 0.5000 0.5000  2 O 2.32
Hf: 0.5000 0.0000 0.5000  2 O 2.32
Hf: 0.5000 0.5000 0.0000  2 O 2.32
O: 0.5000 0.5000 0.5000  6 Hf 2.32

ρ	11.42	g/cm³
DOS(E_F)	6.4	states/eV/f.u.

***

#2
Computed, not measured: LaHf3O after structural relaxation at the GGA-PBE level of DFT.

Lattice parameters (Å, degrees): 5.1802 5.1802 5.1802 90.00 90.00 90.00
Closest atoms and distances in Å follow each position.
Fractional positions:
La: 0.0000 0.0000 0.0000  6 Hf 2.59
Hf: 0.0000 0.0000 0.5000  2 La 2.59
Hf: 0.0000 0.5000 0.0000  2 La 2.59
Hf: 0.5000 0.0000 0.0000  2 La 2.59
O: 0.5000 0.5000 0.5000  12 Hf 3.66

ρ	8.25	g/cm³
DOS(E_F)	6.8	states/eV/f.u.

***

Which of them is most stable, and which least? Most stable: #1; least stable: #2.

***

#1
Computed, not measured: LaHfO2 after structural relaxation at the GGA-PBE level of DFT.

Lattice parameters (Å, degrees): 3.7905 3.7905 18.3860 90.00 90.00 120.00
Closest atoms and distances in Å follow each position.
Fractional positions:
La: 0.0000 0.0000 0.0000  6 O 2.43
La: 0.3333 0.6667 0.6667  6 O 2.43
La: 0.6667 0.3333 0.3333  6 O 2.43
Hf: 0.0000 0.0000 0.5000  2 O 2.01
Hf: 0.3333 0.6667 0.1667  2 O 2.01
Hf: 0.6667 0.3333 0.8333  2 O 2.01
O: 0.0000 0.0000 0.3907  1 Hf 2.01
O: 0.0000 0.0000 0.6093  1 Hf 2.01
O: 0.3333 0.6667 0.0574  1 Hf 2.01
O: 0.3333 0.6667 0.2759  1 Hf 2.01
O: 0.6667 0.3333 0.7241  1 Hf 2.01
O: 0.6667 0.3333 0.9426  1 Hf 2.01

ρ	7.61	g/cm³
DOS(E_F)	3.3	states/eV/f.u.

***

#2
Computed, not measured: LaHfO2 after structural relaxation at the GGA-PBE level of DFT.

Lattice parameters (Å, degrees): 6.0354 6.0354 6.0354 90.00 90.00 90.00
Closest atoms and distances in Å follow each position.
Fractional positions:
La: 0.0000 0.0000 0.0000  8 O 2.61
La: 0.0000 0.5000 0.5000  8 O 2.61
La: 0.5000 0.0000 0.5000  8 O 2.61
La: 0.5000 0.5000 0.0000  8 O 2.61
Hf: 0.0000 0.0000 0.5000  8 O 2.61
Hf: 0.0000 0.5000 0.0000  8 O 2.61
Hf: 0.5000 0.0000 0.0000  8 O 2.61
Hf: 0.5000 0.5000 0.5000  8 O 2.61
O: 0.2500 0.2500 0.2500  4 Hf 2.61, 4 La 2.61
O: 0.2500 0.2500 0.7500  4 Hf 2.61, 4 La 2.61
O: 0.2500 0.7500 0.2500  4 Hf 2.61, 4 La 2.61
O: 0.2500 0.7500 0.7500  4 Hf 2.61, 4 La 2.61
O: 0.7500 0.2500 0.2500  4 Hf 2.61, 4 La 2.61
O: 0.7500 0.2500 0.7500  4 Hf 2.61, 4 La 2.61
O: 0.7500 0.7500 0.2500  4 Hf 2.61, 4 La 2.61
O: 0.7500 0.7500 0.7500  4 Hf 2.61, 4 La 2.61

ρ	10.56	g/cm³
DOS(E_F)	1.8	states/eV/f.u.

***

#3
Computed, not measured: LaHfO2 after structural relaxation at the GGA-PBE level of DFT.

Lattice parameters (Å, degrees): 5.1944 5.1944 11.0726 90.00 90.00 90.00
Closest atoms and distances in Å follow each position.
Fractional positions:
La: 0.0000 0.0000 0.0000  4 O 2.59
La: 0.0000 0.5000 0.2500  4 O 2.59
La: 0.5000 0.0000 0.7500  4 O 2.59
La: 0.5000 0.5000 0.5000  4 O 2.59
Hf: 0.0000 0.0000 0.5000  4 O 2.07
Hf: 0.0000 0.5000 0.7500  4 O 2.07
Hf: 0.5000 0.0000 0.2500  4 O 2.07
Hf: 0.5000 0.5000 0.0000  4 O 2.07
O: 0.1611 0.2500 0.6250  2 Hf 2.07
O: 0.2500 0.6611 0.8750  2 Hf 2.07
O: 0.2500 0.8389 0.3750  2 Hf 2.07
O: 0.3389 0.2500 0.1250  2 Hf 2.07
O: 0.6611 0.7500 0.1250  2 Hf 2.07
O: 0.7500 0.1611 0.3750  2 Hf 2.07
O: 0.7500 0.3389 0.8750  2 Hf 2.07
O: 0.8389 0.7500 0.6250  2 Hf 2.07

ρ	7.77	g/cm³
DOS(E_F)	2.5	states/eV/f.u.

***

Which of them is most stable, and which least? Most stable: #1; least stable: #2.

***

#1
Computed, not measured: La2HfO2 after structural relaxation at the GGA-PBE level of DFT.

Lattice parameters (Å, degrees): 7.2644 7.2644 3.3791 90.00 90.00 90.00
Closest atoms and distances in Å follow each position.
Fractional positions:
La: 0.1623 0.3377 0.0000  2 O 2.51
La: 0.3377 0.8377 0.0000  2 O 2.51
La: 0.6623 0.1623 0.0000  2 O 2.51
La: 0.8377 0.6623 0.0000  2 O 2.51
Hf: 0.0000 0.0000 0.5000  4 O 2.74
Hf: 0.5000 0.5000 0.5000  4 O 2.74
O: 0.1573 0.6573 0.5000  2 La 2.51, 2 Hf 2.74
O: 0.3427 0.1573 0.5000  2 La 2.51, 2 Hf 2.74
O: 0.6573 0.8427 0.5000  2 La 2.51, 2 Hf 2.74
O: 0.8427 0.3427 0.5000  2 La 2.51, 2 Hf 2.74

ρ	9.09	g/cm³
DOS(E_F)	3.8	states/eV/f.u.

***

#2
Computed, not measured: La2HfO2 after structural relaxation at the GGA-PBE level of DFT.

Lattice parameters (Å, degrees): 5.1874 5.1874 9.0418 90.00 90.00 90.00
Closest atoms and distances in Å follow each position.
Fractional positions:
La: 0.0000 0.5000 0.2500  4 O 2.61
La: 0.0000 0.5000 0.7500  4 O 2.61
La: 0.5000 0.0000 0.2500  4 O 2.61
La: 0.5000 0.0000 0.7500  4 O 2.61
Hf: 0.0000 0.0000 0.0000  2 O 2.00
Hf: 0.5000 0.5000 0.5000  2 O 2.00
O: 0.0000 0.0000 0.2213  1 Hf 2.00
O: 0.0000 0.0000 0.7787  1 Hf 2.00
O: 0.5000 0.5000 0.2787  1 Hf 2.00
O: 0.5000 0.5000 0.7213  1 Hf 2.00

ρ	6.67	g/cm³
DOS(E_F)	3.7	states/eV/f.u.

***

Which of them is most stable, and which least? Most stable: #2; least stable: #1.

***

#1
Computed, not measured: LaHfP2O after structural relaxation at the GGA-PBE level of DFT.

Lattice parameters (Å, degrees): 5.3941 5.3941 4.1134 90.00 90.00 90.00
Closest atoms and distances in Å follow each position.
Fractional positions:
La: 0.0000 0.0000 0.0000  2 O 2.06
Hf: 0.5000 0.5000 0.5000  8 P 3.39
P: 0.0000 0.5000 0.0000  2 La 2.70
P: 0.5000 0.0000 0.0000  2 La 2.70
O: 0.0000 0.0000 0.5000  2 La 2.06

ρ	5.49	g/cm³
DOS(E_F)	5.2	states/eV/f.u.

***

#2
Computed, not measured: LaHfP2O after structural relaxation at the GGA-PBE level of DFT.

Lattice parameters (Å, degrees): 5.0867 5.0867 4.0471 90.00 90.00 90.00
Closest atoms and distances in Å follow each position.
Fractional positions:
La: 0.0000 0.0000 0.0000  8 P 3.25, 4 O 3.60
Hf: 0.5000 0.5000 0.5000  2 O 2.02
P: 0.0000 0.5000 0.5000  2 Hf 2.54
P: 0.5000 0.0000 0.5000  2 Hf 2.54
O: 0.5000 0.5000 0.0000  2 Hf 2.02

ρ	6.27	g/cm³
DOS(E_F)	5.6	states/eV/f.u.

***

Which of them is most stable, and which least? Most stable: #2; least stable: #1.

***

#1
Computed, not measured: La2YHfO after structural relaxation at the GGA-PBE level of DFT.

Lattice parameters (Å, degrees): 5.4151 5.4151 4.2735 90.00 90.00 90.00
Closest atoms and distances in Å follow each position.
Fractional positions:
La: 0.0000 0.5000 0.0000  2 O 2.71
La: 0.5000 0.0000 0.0000  2 O 2.71
Y: 0.0000 0.0000 0.5000  8 La 3.45, 4 Hf 3.83
Hf: 0.5000 0.5000 0.5000  2 O 2.14
O: 0.5000 0.5000 0.0000  2 Hf 2.14

ρ	7.44	g/cm³
DOS(E_F)	3.2	states/eV/f.u.

***

#2
Computed, not measured: La2YHfO after structural relaxation at the GGA-PBE level of DFT.

Lattice parameters (Å, degrees): 5.1733 5.1733 4.6614 90.00 90.00 90.00
Closest atoms and distances in Å follow each position.
Fractional positions:
La: 0.0000 0.5000 0.0000  2 O 2.59
La: 0.5000 0.0000 0.0000  2 O 2.59
Y: 0.0000 0.0000 0.5000  2 O 2.33
Hf: 0.5000 0.5000 0.5000  8 La 3.48, 4 Y 3.66
O: 0.0000 0.0000 0.0000  2 Y 2.33, 4 La 2.59

ρ	7.47	g/cm³
DOS(E_F)	4.0	states/eV/f.u.

***

Which of them is most stable, and which least? Most stable: #1; least stable: #2.

***

#1
Computed, not measured: LaHf3Os after structural relaxation at the GGA-PBE level of DFT.

Lattice parameters (Å, degrees): 4.9747 4.9747 4.9747 90.00 90.00 90.00
Closest atoms and distances in Å follow each position.
Fractional positions:
La: 0.0000 0.0000 0.0000  6 Hf 2.49
Hf: 0.0000 0.0000 0.5000  2 La 2.49
Hf: 0.0000 0.5000 0.0000  2 La 2.49
Hf: 0.5000 0.0000 0.0000  2 La 2.49
Os: 0.5000 0.5000 0.5000  12 Hf 3.52

ρ	11.66	g/cm³
DOS(E_F)	9.2	states/eV/f.u.

***

#2
Computed, not measured: LaHf3Os after structural relaxation at the GGA-PBE level of DFT.

Lattice parameters (Å, degrees): 5.1062 5.1062 5.1062 90.00 90.00 90.00
Closest atoms and distances in Å follow each position.
Fractional positions:
La: 0.0000 0.0000 0.0000  12 Hf 3.61
Hf: 0.0000 0.5000 0.5000  2 Os 2.55
Hf: 0.5000 0.0000 0.5000  2 Os 2.55
Hf: 0.5000 0.5000 0.0000  2 Os 2.55
Os: 0.5000 0.5000 0.5000  6 Hf 2.55

ρ	10.78	g/cm³
DOS(E_F)	6.7	states/eV/f.u.

***

Which of them is most stable, and which least? Most stable: #2; least stable: #1.